First-principles (GGA+U) data for crystalline Mn2TlAsO8 at its relaxed geometry, as listed in Alexandria via LeMat-Bulk.

Summary:
E_tot in eV/atom: -6.15

Cell lengths 6.4267, 6.5618, 6.2755 Å; angles 90.00, 90.00, 90.00 degrees
With the nearest neighbours (Å) after each atom.
Space group Cmmm (No. 65)
Symmetry-distinct sites (fractional):
Mn (0.0000, 0.0000, 0.2398) [4 per cell]  6 O 1.95-2.00
Tl (0.0000, 0.5000, 0.5000) [2 per cell]  6 O 2.18-2.20
As (0.0000, 0.5000, 0.0000) [2 per cell]  6 O 1.85-1.96
O (0.0000, 0.1685, 0.5000) [4 per cell]  2 Mn 1.97, 1 Tl 2.18
O (0.0000, 0.2012, 0.0000) [4 per cell]  1 As 1.96, 2 Mn 2.00
O (0.1973, 0.5000, 0.2142) [8 per cell]  1 As 1.85, 1 Mn 1.95